Record 1
## SiAsPt4 (GGA-PBE)

Data for a geometry-optimized SiAsPt4 structure.

Results
theoretical density	13.987	Mg/m³
total DFT energy (no corrections)	-130.26	eV for the cell shown
ΔE_f (raw)	278	meV per atom

Cell lengths 7.4858, 7.4858, 7.4858 Å; angles 90.00, 90.00, 90.00 degrees
Space group F-43m (No. 216)
One atom of each set of equivalent atoms:
Si 0.0000 0.0000 0.0000 [4 per cell]
As 0.2500 0.2500 0.7500 [4 per cell]
Pt 0.1249 0.1249 0.3751 [16 per cell]

***

Record 2
## SiAsPt2 (GGA-PBE)

Data for a geometry-optimized SiAsPt2 structure.

Results
theoretical density	12.739	Mg/m³
total DFT energy (no corrections)	-21.96	eV for the cell shown
ΔE_f (raw)	48	meV per atom

Cell lengths 2.8375, 4.4197, 5.1259 Å; angles 90.00, 90.00, 90.00 degrees
Space group Pmmm (No. 47)
One atom of each set of equivalent atoms:
Si 0.0000 0.0000 0.0000 [1 per cell]
As 0.5000 0.0000 0.5000 [1 per cell]
Pt 0.0000 0.5000 0.5000 [1 per cell]
Pt 0.5000 0.5000 0.0000 [1 per cell]

***

Record 3
## SiAs2Pt (GGA-PBE)

Data for a geometry-optimized SiAs2Pt structure.

Results
theoretical density	8.710	Mg/m³
total DFT energy (no corrections)	-41.63	eV for the cell shown
ΔE_f (raw)	-13	meV per atom

Cell lengths 6.3385, 3.7051, 6.4301 Å; angles 90.00, 109.64, 90.00 degrees
Space group C2/m (No. 12)
One atom of each set of equivalent atoms:
Si 0.0000 0.0000 0.0000 [2 per cell]
As 0.2499 0.0000 0.7474 [4 per cell]
Pt 0.0000 0.5000 0.5000 [2 per cell]

***

Record 4
## SiAs2Pt (GGA-PBE)

Data for a geometry-optimized SiAs2Pt structure.

Results
theoretical density	8.897	Mg/m³
total DFT energy (no corrections)	-39.73	eV for the cell shown
ΔE_f (raw)	225	meV per atom

Cell lengths 2.8243, 5.0455, 9.7708 Å; angles 90.00, 90.00, 90.00 degrees
Space group Immm (No. 71)
One atom of each set of equivalent atoms:
Si 0.0000 0.0000 0.0000 [2 per cell]
As 0.0000 0.5000 0.2327 [4 per cell]
Pt 0.0000 0.0000 0.5000 [2 per cell]

***

Record 5
## SiAs2Pt (GGA-PBE)

Data for a geometry-optimized SiAs2Pt structure.

Results
theoretical density	9.129	Mg/m³
total DFT energy (no corrections)	-39.39	eV for the cell shown
ΔE_f (raw)	267	meV per atom

Cell lengths 4.2941, 4.2941, 7.3595 Å; angles 90.00, 90.00, 90.00 degrees
Space group I-4m2 (No. 119)
One atom of each set of equivalent atoms:
Si 0.0000 0.0000 0.0000 [2 per cell]
As 0.0000 0.0000 0.5000 [2 per cell]
As 0.0000 0.5000 0.7500 [2 per cell]
Pt 0.0000 0.5000 0.2500 [2 per cell]

***

Record 6
## SiAs2Pt (GGA-PBE)

Data for a geometry-optimized SiAs2Pt structure.

Results
theoretical density	8.918	Mg/m³
total DFT energy (no corrections)	-58.93	eV for the cell shown
ΔE_f (raw)	280	meV per atom

Cell lengths 3.0253, 3.0253, 26.2902 Å; angles 90.00, 90.00, 120.00 degrees
Space group R-3m (No. 166, hexagonal axes)
One atom of each set of equivalent atoms:
Si 0.0000 0.0000 0.0000 [3 per cell]
As 0.0000 0.0000 0.2445 [6 per cell]
Pt 0.0000 0.0000 0.5000 [3 per cell]